Here is a relaxed structure of Co4TcPb from Alexandria. Energies are from PBE.

It has space group F-43m (No. 216), with a = 6.867 Å, b = 6.867 Å, c = 6.867 Å, α = 90.00°, β = 90.00° and γ = 90.00°. The inequivalent atoms are Co at (0.124, 0.124, 0.124), Tc at (0.250, 0.250, 0.750) and Pb at (0.000, 0.000, 0.500).

Its total energy is -6.71 eV per atom. The formation energy comes out at 0.38 eV per atom.